# 1
Density functional theory data (PBEsol) for a relaxed SrAg4Se crystal.

**Electronic total energy**: -3.467 eV/atom
**Volume**: 122.4 Å³ per cell
**Total magnetization**: 0.00 μB/cell
**Crystal system**: cubic

Cell: 5.5728 5.5728 5.5728 Å, 60.00 60.00 60.00°
Last column: nearest neighbours and their distance in Å.
Atoms (fractional coordinates):
Sr (0.0000, 0.0000, 0.0000)  12 Ag 3.27, 4 Se 3.41
Ag (0.3752, 0.3752, 0.3752)  6 Ag 2.78-2.79
Ag (0.3752, 0.3752, 0.8743)  6 Ag 2.78-2.79
Ag (0.3752, 0.8743, 0.3752)  6 Ag 2.78-2.79
Ag (0.8743, 0.3752, 0.3752)  6 Ag 2.78-2.79
Se (0.7500, 0.7500, 0.7500)  12 Ag 3.27, 4 Sr 3.41



# 2
Density functional theory data (PBEsol) for a relaxed SrAgSe2 crystal.

**Electronic total energy**: -3.850 eV/atom
**Volume**: 138.7 Å³ per cell
**Total magnetization**: 0.00 μB/cell
**Crystal system**: trigonal

Cell: 8.4483 8.4483 8.4483 Å, 30.62 30.62 30.62°
Last column: nearest neighbours and their distance in Å.
Atoms (fractional coordinates):
Sr (0.0000, 0.0000, 0.0000)  6 Se 3.05
Ag (0.5000, 0.5000, 0.5000)  2 Se 2.39
Se (0.4011, 0.4011, 0.4011)  1 Ag 2.39
Se (0.5989, 0.5989, 0.5989)  1 Ag 2.39



# 3
Density functional theory data (PBEsol) for a relaxed Sr3AgSe crystal.

**Electronic total energy**: -2.817 eV/atom
**Volume**: 200.3 Å³ per cell
**Total magnetization**: 0.00 μB/cell
**Crystal system**: cubic

Cell: 5.8512 5.8512 5.8512 Å, 90.00 90.00 90.00°
Last column: nearest neighbours and their distance in Å.
Atoms (fractional coordinates):
Sr (0.0000, 0.0000, 0.5000)  2 Ag 2.93
Sr (0.0000, 0.5000, 0.0000)  2 Ag 2.93
Sr (0.5000, 0.0000, 0.0000)  2 Ag 2.93
Ag (0.0000, 0.0000, 0.0000)  6 Sr 2.93
Se (0.5000, 0.5000, 0.5000)  12 Sr 4.14



# 4
Density functional theory data (PBEsol) for a relaxed Ta2AgSe crystal.

**Electronic total energy**: -7.730 eV/atom
**Volume**: 69.2 Å³ per cell
**Total magnetization**: 0.00 μB/cell
**Crystal system**: orthorhombic

Cell: 3.3443 4.4777 4.6236 Å, 90.00 90.00 90.00°
Last column: nearest neighbours and their distance in Å.
Atoms (fractional coordinates):
Ta (0.0000, 0.0000, 0.0000)  4 Se 2.79, 4 Ta 2.85
Ta (0.5000, 0.0000, 0.5000)  4 Ag 2.79, 4 Ta 2.85
Ag (0.0000, 0.5000, 0.5000)  4 Ta 2.79, 4 Se 2.85
Se (0.5000, 0.5000, 0.0000)  4 Ta 2.79, 4 Ag 2.85



# 5
Density functional theory data (PBEsol) for a relaxed Ta2AgSe crystal.

**Electronic total energy**: -8.055 eV/atom
**Volume**: 75.8 Å³ per cell
**Total magnetization**: 0.00 μB/cell
**Crystal system**: trigonal

Cell: 8.9661 8.9661 8.9661 Å, 20.28 20.28 20.28°
Last column: nearest neighbours and their distance in Å.
Atoms (fractional coordinates):
Ta (0.0000, 0.0000, 0.0000)  3 Ta 2.81, 3 Ag 2.86
Ta (0.2520, 0.2520, 0.2520)  3 Se 2.58, 3 Ta 2.81
Ag (0.7502, 0.7502, 0.7502)  3 Ta 2.86, 6 Ag 3.16, 3 Se 3.19
Se (0.5161, 0.5161, 0.5161)  3 Ta 2.58



# 6
Density functional theory data (PBEsol) for a relaxed Ta2AgSe crystal.

**Electronic total energy**: -7.876 eV/atom
**Volume**: 67.9 Å³ per cell
**Total magnetization**: 0.00 μB/cell
**Crystal system**: monoclinic

Cell: 2.9503 4.1171 5.7646 Å, 90.00 104.07 90.00°
Last column: nearest neighbours and their distance in Å.
Atoms (fractional coordinates):
Ta (0.0807, 0.0000, 0.2578)  2 Se 2.62, 2 Ag 2.85, 1 Ta 2.89
Ta (0.9193, 0.0000, 0.7422)  2 Se 2.62, 2 Ag 2.85, 1 Ta 2.89
Ag (0.5000, 0.5000, 0.0000)  8 Ta 2.85-2.98, 2 Se 2.88, 2 Ag 2.95
Se (0.5000, 0.5000, 0.5000)  4 Ta 2.62, 2 Ag 2.88



# 7
Density functional theory data (PBEsol) for a relaxed Ta2AgSe crystal.

**Electronic total energy**: -8.019 eV/atom
**Volume**: 66.4 Å³ per cell
**Total magnetization**: 0.00 μB/cell
**Crystal system**: tetragonal

Cell: 3.0533 3.0533 7.1192 Å, 90.00 90.00 90.00°
Last column: nearest neighbours and their distance in Å.
Atoms (fractional coordinates):
Ta (0.0000, 0.0000, 0.2280)  4 Se 2.70, 4 Ag 2.90
Ta (0.0000, 0.0000, 0.7720)  4 Se 2.70, 4 Ag 2.90
Ag (0.5000, 0.5000, 0.5000)  8 Ta 2.90, 4 Ag 3.05
Se (0.5000, 0.5000, 0.0000)  8 Ta 2.70



# 8
Density functional theory data (PBEsol) for a relaxed TbAgSe2 crystal.

**Electronic total energy**: -5.154 eV/atom
**Volume**: 191.0 Å³ per cell
**Total magnetization**: 0.00 μB/cell
**Crystal system**: tetragonal

Cell: 7.2598 7.2598 7.2598 Å, 134.60 134.60 66.15°
Last column: nearest neighbours and their distance in Å.
Atoms (fractional coordinates):
Tb (0.0000, 0.0000, 0.0000)  6 Se 2.81-2.87
Tb (0.7500, 0.2500, 0.5000)  6 Se 2.81-2.87
Ag (0.2092, 0.7092, 0.5000)  5 Se 2.72-2.89
Ag (0.4592, 0.4592, 0.0000)  5 Se 2.72-2.89
Se (0.2358, 0.2358, 0.0000)  3 Ag 2.72-2.82, 3 Tb 2.81-2.87
Se (0.5164, 0.0164, 0.5000)  3 Tb 2.81-2.84, 2 Ag 2.89
Se (0.7664, 0.7664, 0.0000)  3 Tb 2.81-2.84, 2 Ag 2.89
Se (0.9858, 0.4858, 0.5000)  3 Ag 2.72-2.82, 3 Tb 2.81-2.87



# 9
Density functional theory data (PBEsol) for a relaxed TcAgSe2 crystal.

**Electronic total energy**: -5.538 eV/atom
**Volume**: 68.1 Å³ per cell
**Total magnetization**: 0.00 μB/cell
**Crystal system**: tetragonal

Cell: 3.0379 3.0379 7.3774 Å, 90.00 90.00 90.00°
Last column: nearest neighbours and their distance in Å.
Atoms (fractional coordinates):
Tc (0.0000, 0.0000, 0.0000)  8 Se 2.64
Ag (0.0000, 0.0000, 0.5000)  4 Ag 3.04, 8 Se 3.05
Se (0.5000, 0.5000, 0.2069)  4 Tc 2.64
Se (0.5000, 0.5000, 0.7931)  4 Tc 2.64



# 10
Density functional theory data (PBEsol) for a relaxed TcAgSe2 crystal.

**Electronic total energy**: -5.453 eV/atom
**Volume**: 73.1 Å³ per cell
**Total magnetization**: 0.00 μB/cell
**Crystal system**: tetragonal

Cell: 2.9641 2.9641 8.3172 Å, 90.00 90.00 90.00°
Last column: nearest neighbours and their distance in Å.
Atoms (fractional coordinates):
Tc (0.0000, 0.0000, 0.0000)  4 Se 2.48
Ag (0.5000, 0.5000, 0.2433)  4 Se 2.88, 4 Tc 2.91, 4 Ag 2.96
Se (0.0000, 0.0000, 0.4802)  4 Ag 2.88, 4 Se 2.96
Se (0.5000, 0.5000, 0.8413)  4 Tc 2.48



# 11
Density functional theory data (PBEsol) for a relaxed TcAgSe4 crystal.

**Electronic total energy**: -3.960 eV/atom
**Volume**: 121.1 Å³ per cell
**Total magnetization**: 3.65 μB/cell
**Crystal system**: cubic

Cell: 5.5536 5.5536 5.5536 Å, 60.00 60.00 60.00°
Last column: nearest neighbours and their distance in Å.
Atoms (fractional coordinates):
Tc (0.0000, 0.0000, 0.0000)  12 Se 3.26, 4 Ag 3.40
Ag (0.2500, 0.2500, 0.2500)  12 Se 3.26, 4 Tc 3.40
Se (0.1245, 0.6252, 0.6252)  6 Se 2.77-2.78
Se (0.6252, 0.1245, 0.6252)  6 Se 2.77-2.78
Se (0.6252, 0.6252, 0.1245)  6 Se 2.77-2.78
Se (0.6252, 0.6252, 0.6252)  6 Se 2.77-2.78



# 12
Density functional theory data (PBEsol) for a relaxed TcAg2Se crystal.

**Electronic total energy**: -4.961 eV/atom
**Volume**: 65.1 Å³ per cell
**Total magnetization**: 1.05 μB/cell
**Crystal system**: orthorhombic

Cell: 3.0564 4.3355 4.9101 Å, 90.00 90.00 90.00°
Last column: nearest neighbours and their distance in Å.
Atoms (fractional coordinates):
Tc (0.0000, 0.0000, 0.0000)  4 Se 2.65, 4 Ag 2.89
Ag (0.0000, 0.5000, 0.5000)  4 Ag 2.65, 4 Se 2.89
Ag (0.5000, 0.0000, 0.5000)  4 Ag 2.65, 4 Tc 2.89
Se (0.5000, 0.5000, 0.0000)  4 Tc 2.65, 4 Ag 2.89



# 13
Density functional theory data (PBEsol) for a relaxed TcAg2Se crystal.

**Electronic total energy**: -4.974 eV/atom
**Volume**: 65.9 Å³ per cell
**Total magnetization**: 0.00 μB/cell
**Crystal system**: trigonal

Cell: 9.6870 9.6870 9.6870 Å, 16.76 16.76 16.76°
Last column: nearest neighbours and their distance in Å.
Atoms (fractional coordinates):
Tc (0.0000, 0.0000, 0.0000)  6 Ag 2.81, 6 Tc 2.82
Ag (0.2534, 0.2534, 0.2534)  3 Tc 2.81, 6 Ag 2.82, 3 Se 2.97
Ag (0.7466, 0.7466, 0.7466)  3 Tc 2.81, 6 Ag 2.82, 3 Se 2.97
Se (0.5000, 0.5000, 0.5000)  6 Se 2.82, 6 Ag 2.97



| no. | uncorrected formation energy (eV/atom) |
| --- | --- |
| 1 | -0.311 |
| 2 | -0.637 |
| 3 | -0.281 |
| 4 | 0.336 |
| 5 | 0.011 |
| 6 | 0.190 |
| 7 | 0.047 |
| 8 | -1.149 |
| 9 | 0.032 |
| 10 | 0.116 |
| 11 | 1.036 |
| 12 | 0.473 |
| 13 | 0.461 |